Record 1
# CaTbGa

CaTbGa after structural relaxation (PBE-GGA, Alexandria).

Unit cell a=3.7863 b=5.0496 c=5.0496 alpha=120.00 beta=90.00 gamma=90.00
With the nearest neighbours (Å) after each atom.
Atoms (fractional coordinates):
Ca 0.0507 0.0000 0.0000  3 Ga 3.14, 3 Tb 3.40
Tb 0.5877 0.3333 0.6667  3 Ga 3.04, 3 Ca 3.40
Ga 0.3616 0.6667 0.3333  3 Tb 3.04, 3 Ca 3.14

Summary:
energy relative to the elements	-0.60	eV per formula unit
crystal system	trigonal
magnetic moment	0.0	μB/cell
calculated density	5.337	g cm⁻³

---

Record 2
# Ca2TbGaTe5

Ca2TbGaTe5 after structural relaxation (PBE-GGA, Alexandria).

Unit cell a=4.2917 b=10.1445 c=13.4485 alpha=90.00 beta=90.00 gamma=102.21
With the nearest neighbours (Å) after each atom.
Atoms (fractional coordinates):
Ca 0.1190 0.2381 0.6775  7 Te 3.21-3.48
Ca 0.8810 0.7619 0.1775  7 Te 3.21-3.48
Ca 0.1229 0.2458 0.3227  6 Te 3.27-3.31
Ca 0.8771 0.7542 0.8227  6 Te 3.27-3.31
Te 0.5028 0.0057 0.2669  1 Ga 2.59
Te 0.0435 0.0870 0.0542  2 Ga 2.69
Te 0.3573 0.7146 0.0037  1 Tb 3.05, 4 Ca 3.21-3.27
Te 0.6849 0.3697 0.8562  1 Ga 2.71
Te 0.9565 0.9130 0.5542  2 Ga 2.69
Te 0.3151 0.6303 0.3562  1 Ga 2.71
Te 0.6427 0.2854 0.5037  1 Tb 3.05, 4 Ca 3.21-3.27
Te 0.2926 0.5852 0.6831  2 Tb 3.04, 2 Ca 3.31
Te 0.4972 0.9943 0.7669  1 Ga 2.59
Te 0.7074 0.4148 0.1831  2 Tb 3.04, 2 Ca 3.31
Tb 0.2042 0.4084 0.0231  6 Te 3.04-3.21
Tb 0.7958 0.5916 0.5231  6 Te 3.04-3.21
Ga 0.5596 0.1193 0.9364  4 Te 2.59-2.71
Ga 0.4404 0.8807 0.4364  4 Te 2.59-2.71

Summary:
crystal system	orthorhombic
magnetic moment	0.0	μB/cell
calculated density	5.495	g cm⁻³

---

Record 3
# CaTbTlGa

CaTbTlGa after structural relaxation (PBE-GGA, Alexandria).

Unit cell a=5.2941 b=5.2941 c=5.2941 alpha=60.00 beta=60.00 gamma=60.00
With the nearest neighbours (Å) after each atom.
Atoms (fractional coordinates):
Ga 0.2500 0.2500 0.2500  4 Ca 3.24, 4 Tb 3.24
Tl 0.7500 0.7500 0.7500  4 Tb 3.24, 4 Ca 3.24
Ca 0.5000 0.5000 0.5000  4 Ga 3.24, 4 Tl 3.24
Tb 0.0000 0.0000 0.0000  4 Ga 3.24, 4 Tl 3.24

Summary:
energy relative to the elements	-1.63	eV per formula unit
crystal system	cubic
magnetic moment	0.0	μB/cell
calculated density	7.488	g cm⁻³

---

Record 4
# CaTbZn2Ga2

CaTbZn2Ga2 after structural relaxation (PBE-GGA, Alexandria).

Unit cell a=4.4777 b=4.4777 c=7.3430 alpha=90.00 beta=90.00 gamma=120.00
With the nearest neighbours (Å) after each atom.
Atoms (fractional coordinates):
Zn 0.3333 0.6667 0.7254  3 Ga 2.59
Zn 0.6667 0.3333 0.2746  3 Ga 2.59
Tb 0.0000 0.0000 0.5000  6 Ga 3.06, 6 Zn 3.07
Ga 0.6667 0.3333 0.7233  3 Zn 2.59
Ga 0.3333 0.6667 0.2767  3 Zn 2.59
Ca 0.0000 0.0000 0.0000  6 Zn 3.28, 6 Ga 3.29, 2 Tb 3.67

Summary:
energy relative to the elements	-3.01	eV per formula unit
crystal system	trigonal
magnetic moment	0.0	μB/cell
calculated density	6.111	g cm⁻³

---

Record 5
# CaGaTc3

CaGaTc3 after structural relaxation (PBE-GGA, Alexandria).

Unit cell a=4.6781 b=4.6781 c=4.6781 alpha=90.00 beta=90.00 gamma=90.00
With the nearest neighbours (Å) after each atom.
Atoms (fractional coordinates):
Ga 0.0000 0.0000 0.0000  6 Tc 2.34
Ca 0.5000 0.5000 0.5000  12 Tc 3.31
Tc 0.5000 0.0000 0.0000  2 Ga 2.34
Tc 0.0000 0.5000 0.0000  2 Ga 2.34
Tc 0.0000 0.0000 0.5000  2 Ga 2.34

Summary:
energy relative to the elements	5.77	eV per formula unit
crystal system	cubic
magnetic moment	3.5	μB/cell
calculated density	6.549	g cm⁻³

---

Record 6
# Ca2Ga2Tc

Ca2Ga2Tc after structural relaxation (PBE-GGA, Alexandria).

Unit cell a=6.8330 b=6.8330 c=4.7807 alpha=90.00 beta=90.00 gamma=90.00
With the nearest neighbours (Å) after each atom.
Atoms (fractional coordinates):
Tc 0.0000 0.0000 0.0000  4 Ga 2.63
Tc 0.5000 0.5000 0.0000  4 Ga 2.63
Ca 0.8216 0.3216 0.5000  6 Ga 2.95-3.25
Ca 0.6784 0.8216 0.5000  6 Ga 2.95-3.25
Ca 0.1784 0.6784 0.5000  6 Ga 2.95-3.25
Ca 0.3216 0.1784 0.5000  6 Ga 2.95-3.25
Ga 0.6428 0.1428 0.0000  2 Tc 2.63, 1 Ga 2.76
Ga 0.3572 0.8572 0.0000  2 Tc 2.63, 1 Ga 2.76
Ga 0.8572 0.6428 0.0000  2 Tc 2.63, 1 Ga 2.76
Ga 0.1428 0.3572 0.0000  2 Tc 2.63, 1 Ga 2.76

Summary:
energy relative to the elements	-0.24	eV per formula unit
crystal system	tetragonal
magnetic moment	1.5	μB/cell
calculated density	4.726	g cm⁻³

---

Record 7
# CaGa2Tc

CaGa2Tc after structural relaxation (PBE-GGA, Alexandria).

Unit cell a=4.8212 b=4.8212 c=9.2106 alpha=74.83 beta=74.83 gamma=90.00
With the nearest neighbours (Å) after each atom.
Atoms (fractional coordinates):
Ga 0.8750 0.0499 0.7500  2 Tc 2.48, 2 Ga 2.52
Ga 0.9501 0.6250 0.2500  2 Tc 2.48, 2 Ga 2.52
Ga 0.7999 0.1250 0.2500  2 Tc 2.48, 2 Ga 2.52
Ga 0.3750 0.2001 0.7500  2 Tc 2.48, 2 Ga 2.52
Ca 0.5000 0.5000 0.0000  4 Ga 3.20, 4 Tc 3.41
Ca 0.2500 0.7500 0.5000  4 Ga 3.20, 4 Tc 3.41
Tc 0.0000 0.0000 0.0000  4 Ga 2.48
Tc 0.7500 0.2500 0.5000  4 Ga 2.48

Summary:
energy relative to the elements	0.85	eV per formula unit
crystal system	tetragonal
magnetic moment	1.5	μB/cell
calculated density	4.634	g cm⁻³

---

Record 8
# CaGa2Tc

CaGa2Tc after structural relaxation (PBE-GGA, Alexandria).

Unit cell a=3.3319 b=3.3319 c=6.6127 alpha=90.00 beta=90.00 gamma=90.00
With the nearest neighbours (Å) after each atom.
Atoms (fractional coordinates):
Ga 0.0000 0.0000 0.8055  1 Ga 2.57, 4 Tc 2.68
Ga 0.0000 0.0000 0.1945  1 Ga 2.57, 4 Tc 2.68
Ca 0.5000 0.5000 0.5000  8 Ga 3.10, 2 Tc 3.31, 4 Ca 3.33
Tc 0.5000 0.5000 0.0000  8 Ga 2.68

Summary:
energy relative to the elements	-0.92	eV per formula unit
crystal system	tetragonal
magnetic moment	0.0	μB/cell
calculated density	6.277	g cm⁻³

---

Final energy in eV per atom, matching the order above: -3.42, -4.21, -3.41, -3.04, -6.07, -4.13, -4.39, -4.83